1.
First-principles (PBEsol) data for a relaxed ScRhPb3 crystal, as listed in Alexandria.

Unit cell a=5.342 b=5.342 c=5.342 alpha=90.00 beta=90.00 gamma=90.00
Atoms (fractional coordinates):
Sc (0.000, 0.000, 0.000)
Pb (0.000, 0.000, 0.500)
Pb (0.000, 0.500, 0.000)
Pb (0.500, 0.000, 0.000)
Rh (0.500, 0.500, 0.500)

Properties
**Volume**: 30.5 Å³/atom
**Magnetic moment**: 0.28 μB/f.u.
**Final energy**: -4.290 eV/atom
**D(E_F)**: 1.314 states/eV per atom
**ΔE_f**: 5.29 eV per formula unit

---

2.
First-principles (PBEsol) data for a relaxed KNiPt2 crystal, as listed in Alexandria.

Unit cell a=2.673 b=4.891 c=5.776 alpha=115.05 beta=103.38 gamma=90.00
Atoms (fractional coordinates):
Pt (0.786, 0.786, 0.572)
Pt (0.214, 0.214, 0.428)
Ni (0.500, 0.000, 0.000)
K (0.000, 0.500, 0.000)

Properties
**Excess energy over the best structure of this formula in the dataset**: 2.4 kJ/mol of formula units
**Volume**: 16.5 Å³/atom
**Magnetic moment**: 0.44 μB/f.u.
**Final energy**: -4.973 eV/atom
**D(E_F)**: 1.447 states/eV per atom
**ΔE_f**: 1.33 eV per formula unit